# 1
Compound: Ir2OsW
Source: OQMD via LeMat-Bulk
Functional: PBE
Structure: relaxed

a = 5.5614 Å, b = 5.5614 Å, c = 4.4176 Å
α = 90.00°, β = 90.00°, γ = 120.61°
Positions (direct):
Ir 0.1648 0.3314 0.2500
Ir 0.3314 0.1648 0.7500
Ir 0.6686 0.8352 0.2500
Ir 0.8352 0.6686 0.7500
Os 0.1664 0.8336 0.2500
Os 0.8336 0.1664 0.7500
W 0.3316 0.6684 0.7500
W 0.6684 0.3316 0.2500

Results
Offset from the most stable computed form in meV/atom: 0
ΔH_f (0 K) in eV per atom: -0.3051
Total magnetic moment in μB per formula unit: 0.00

# 2
Compound: Ir2Os2W
Source: OQMD via LeMat-Bulk
Functional: PBE
Structure: relaxed

a = 6.5418 Å, b = 6.5418 Å, c = 6.5418 Å
α = 147.24°, β = 147.24°, γ = 47.01°
Positions (direct):
Ir 0.2500 0.7500 0.5000
Ir 0.7500 0.2500 0.5000
Os 0.0983 0.0983 0.0000
Os 0.9017 0.9017 0.0000
W 0.5000 0.5000 0.0000

Results
Offset from the most stable computed form in meV/atom: 47
ΔH_f (0 K) in eV per atom: 0.6432
Total magnetic moment in μB per formula unit: 0.01